Li2LaThTe4 | GGA-PBE | optimized geometry

extended XYZ file:
```
8
Lattice="4.419 0.000 0.000 0.000 7.593 -0.130 0.000 2.697 7.212" Properties=species:S:1:pos:R:3 pbc="T T T"
Te 2.209 3.787 5.383
La 2.209 6.494 7.147
Th 0.000 5.145 3.541
Te 0.000 7.826 5.218
Te 2.209 6.504 1.699
Li 2.209 1.349 3.606
Te 4.419 2.465 1.864
Li 0.000 2.697 7.212
```

Computed properties:
Formation energy (no corrections) = -1.22 eV per atom
Magnetic moment = 0.00 μB/f.u.
Symmetry = P2/m, No. 10
V = 30.44 A^3/atom